Entry 1:
Below is a relaxed structure of ReSnP3, with properties calculated at the GGA-PBE level.

For the final energy, the calculation gives -4.353 eV/atom. The value obtained for the density of states at the Fermi level is 11.43 states/eV/f.u. For the calculated volume, the calculation gives 112.1 Å³ per cell. For the excess energy over the best structure of this formula in the dataset, the calculation gives 1639.1 meV per atom. Its energy of formation from the pure elements is 2.183 eV per atom.

The structure belongs to space group Pm-3m (No. 221); the cell edges are 4.8221, 4.8221 and 4.8221 Å and the angles 90.00°, 90.00° and 90.00°. Symmetry generates all atoms from Re at (0.0000, 0.0000, 0.0000), Sn at (0.5000, 0.5000, 0.5000) and P at (0.0000, 0.5000, 0.5000).

---

Entry 2:
Below is a relaxed structure of Sr2Re2P, with properties calculated at the GGA-PBE level.

For the final energy, the calculation gives -5.633 eV/atom. The value obtained for the density of states at the Fermi level is 5.62 states/eV/f.u. For the calculated volume, the calculation gives 257.2 Å³ per cell. For the excess energy over the best structure of this formula in the dataset, the calculation gives 970.3 meV per atom. Its energy of formation from the pure elements is 1.101 eV per atom.

The structure belongs to space group P4/mbm (No. 127); the cell edges are 9.2907, 9.2907 and 2.9792 Å and the angles 90.00°, 90.00° and 90.00°. Symmetry generates all atoms from Sr at (0.1974, 0.3026, 0.0000), Re at (0.0846, 0.5846, 0.5000) and P at (0.0000, 0.0000, 0.0000).

---

Entry 3:
Below is a relaxed structure of SrReP, with properties calculated at the GGA-PBE level.

For the final energy, the calculation gives -5.860 eV/atom. The value obtained for the density of states at the Fermi level is 2.77 states/eV/f.u. For the calculated volume, the calculation gives 256.6 Å³ per cell. For the excess energy over the best structure of this formula in the dataset, the calculation gives 899.6 meV per atom. Its energy of formation from the pure elements is 0.653 eV per atom.

The structure belongs to space group F-43m (No. 216); the cell edges are 6.3549, 6.3549 and 6.3549 Å and the angles 90.00°, 90.00° and 90.00°. Symmetry generates all atoms from Sr at (0.0000, 0.0000, 0.0000), Re at (0.0000, 0.0000, 0.5000) and P at (0.2500, 0.2500, 0.7500).

---

Entry 4:
Below is a relaxed structure of SrReP2, with properties calculated at the GGA-PBE level.

For the final energy, the calculation gives -5.295 eV/atom. The value obtained for the density of states at the Fermi level is 4.17 states/eV/f.u. For the calculated volume, the calculation gives 289.1 Å³ per cell. For the excess energy over the best structure of this formula in the dataset, the calculation gives 1365.3 meV per atom. Its energy of formation from the pure elements is 0.942 eV per atom.

The structure belongs to space group F-43m (No. 216); the cell edges are 6.6123, 6.6123 and 6.6123 Å and the angles 90.00°, 90.00° and 90.00°. Symmetry generates all atoms from Sr at (0.0000, 0.0000, 0.0000), Re at (0.2500, 0.2500, 0.2500), P at (0.0000, 0.0000, 0.5000) and P at (0.2500, 0.2500, 0.7500).

---

- Which of these has the highest calculated volume?
  SrReP2

---

- The highest energy of formation from the pure elements belongs to which entry?
  ReSnP3

---

- Which formula does entry 1 have?
  ReSnP3

---

- Which formula does entry 2 have?
  Sr2Re2P